# 1
Th8FeSn2 | Alexandria | PBE | relaxed; formation energy = -0.134 eV per atom; crystal system = monoclinic; total energy = -77.3 eV for the cell shown; volume = 322.7 Å³/cell
1.0
9.103 -2.788 0.000
9.103 2.788 0.000
-2.169 0.000 6.357
Th Fe Sn
8 1 2
Direct
0.003 0.003 0.236 Th
0.223 0.223 0.134 Th
0.364 0.364 0.697 Th
0.414 0.414 0.250 Th
0.586 0.586 0.750 Th
0.636 0.636 0.303 Th
0.777 0.777 0.866 Th
0.997 0.997 0.764 Th
0.500 0.500 0.000 Fe
0.171 0.171 0.616 Sn
0.829 0.829 0.384 Sn

# 2
EuUOs4 | Alexandria | PBE | relaxed; formation energy = 0.030 eV per atom; crystal system = cubic; total energy = -66.3 eV for the cell shown; volume = 109.0 Å³/cell
1.0
0.000 3.791 3.791
3.791 0.000 3.791
3.791 3.791 0.000
Eu U Os
1 1 4
Direct
0.000 0.000 0.000 Eu
0.250 0.250 0.250 U
0.125 0.625 0.625 Os
0.625 0.125 0.625 Os
0.625 0.625 0.125 Os
0.625 0.625 0.625 Os